Entry 1:
The following is a PBE-GGA calculation of a relaxed SrGeBi crystal, from Alexandria via LeMat-Bulk.

Calculated values
As for the energy relative to the lowest polymorph listed for this composition: 0 meV/atom. For the energy relative to the elements, the calculation gives -0.466 eV/atom. The uncorrected energy is -3.86 eV/atom.

a = 4.232 Å, b = 4.570 Å, c = 9.765 Å
α = 103.53°, β = 90.00°, γ = 90.00°
Element x y z (fractional)
1 Sr 0.250 0.904 0.808
2 Sr 0.750 0.096 0.192
3 Ge 0.250 0.541 0.081
4 Ge 0.750 0.459 0.919
5 Bi 0.750 0.282 0.564
6 Bi 0.250 0.718 0.436



Entry 2:
The following is a PBE-GGA calculation of a relaxed CaVTeN2 crystal, from Alexandria via LeMat-Bulk.

Calculated values
As for the energy relative to the lowest polymorph listed for this composition: 1569 meV/atom. The uncorrected energy is -4.71 eV/atom. For the formation energy from raw total energies, the calculation gives 1.471 eV/atom.

a = 4.472 Å, b = 4.472 Å, c = 6.351 Å
α = 90.00°, β = 90.00°, γ = 90.00°
Element x y z (fractional)
1 N 0.000 0.500 0.000
2 N 0.500 0.000 0.000
3 Ca 0.000 0.000 0.000
4 Te 0.000 0.000 0.500
5 V 0.500 0.500 0.500



Entry 3:
The following is a PBE-GGA calculation of a relaxed KVAs2 crystal, from Alexandria via LeMat-Bulk.

Calculated values
As for the energy relative to the lowest polymorph listed for this composition: 0 meV/atom. For the energy relative to the elements, the calculation gives -0.280 eV/atom. The uncorrected energy is -5.16 eV/atom.

a = 3.436 Å, b = 3.436 Å, c = 8.637 Å
α = 78.53°, β = 78.53°, γ = 60.00°
Element x y z (fractional)
1 As 0.270 0.270 0.190
2 As 0.730 0.730 0.810
3 K 0.500 0.500 0.500
4 V 0.000 0.000 0.000



Entry 4:
The following is a PBE-GGA calculation of a relaxed Ac3TbRh8 crystal, from Alexandria via LeMat-Bulk.

Calculated values
For the energy relative to the elements, the calculation gives -0.598 eV/atom. The uncorrected energy is -6.91 eV/atom.

a = 5.497 Å, b = 5.497 Å, c = 9.554 Å
α = 73.28°, β = 73.28°, γ = 60.00°
Element x y z (fractional)
1 Ac 0.376 0.376 0.873
2 Ac 0.998 0.998 0.006
3 Ac 0.502 0.502 0.495
4 Tb 0.874 0.874 0.378
5 Rh 0.936 0.436 0.193
6 Rh 0.441 0.939 0.682
7 Rh 0.436 0.436 0.193
8 Rh 0.939 0.939 0.682
9 Rh 0.188 0.188 0.436
10 Rh 0.688 0.688 0.937
11 Rh 0.436 0.936 0.193
12 Rh 0.939 0.441 0.682



Entry 5:
The following is a PBE-GGA calculation of a relaxed NaTcNi crystal, from Alexandria via LeMat-Bulk.

Calculated values
As for the energy relative to the lowest polymorph listed for this composition: 160 meV/atom. For the energy relative to the elements, the calculation gives 0.402 eV/atom. The uncorrected energy is -5.42 eV/atom.

a = 2.609 Å, b = 8.231 Å, c = 4.938 Å
α = 103.68°, β = 105.19°, γ = 81.00°
Element x y z (fractional)
1 Na 0.106 0.135 0.705
2 Na 0.783 0.332 0.270
3 Tc 0.434 0.589 0.826
4 Tc 0.450 0.877 0.149
5 Ni 0.741 0.826 0.676
6 Ni 0.143 0.640 0.299



Entry 6:
The following is a PBE-GGA calculation of a relaxed Hf2FeHRu crystal, from Alexandria via LeMat-Bulk.

Calculated values
The uncorrected energy is -8.68 eV/atom.

a = 4.509 Å, b = 4.509 Å, c = 3.322 Å
α = 90.00°, β = 90.00°, γ = 90.00°
Element x y z (fractional)
1 Ru 0.500 0.500 0.500
2 Hf 0.000 0.500 0.000
3 Hf 0.500 0.000 0.000
4 Fe 0.000 0.000 0.500
5 H 0.000 0.000 0.000



Entry 7:
The following is a PBE-GGA calculation of a relaxed La2PmSmHo5 crystal, from Alexandria via LeMat-Bulk.

Calculated values
For the energy relative to the elements, the calculation gives 0.248 eV/atom. The uncorrected energy is -4.44 eV/atom.

a = 8.685 Å, b = 8.685 Å, c = 10.005 Å
α = 115.72°, β = 115.72°, γ = 90.00°
Element x y z (fractional)
1 La 0.118 0.382 0.000
2 La 0.618 0.118 0.000
3 La 0.382 0.882 0.000
4 La 0.882 0.618 0.000
5 Pm 0.250 0.250 0.500
6 Pm 0.750 0.750 0.500
7 Sm 0.250 0.750 0.500
8 Sm 0.750 0.250 0.500
9 Ho 0.927 0.427 0.281
10 Ho 0.645 0.145 0.719
11 Ho 0.073 0.573 0.719
12 Ho 0.145 0.073 0.719
13 Ho 0.573 0.645 0.719
14 Ho 0.855 0.927 0.281
15 Ho 0.427 0.355 0.281
16 Ho 0.355 0.855 0.281
17 Ho 0.500 0.500 0.000
18 Ho 0.000 0.000 0.000



Entry 8:
The following is a PBE-GGA calculation of a relaxed TbTmOsO6 crystal, from Alexandria via LeMat-Bulk.

Calculated values
The uncorrected energy is -7.97 eV/atom. For the formation energy from raw total energies, the calculation gives -2.402 eV/atom.

a = 5.440 Å, b = 5.440 Å, c = 9.614 Å
α = 90.00°, β = 90.00°, γ = 120.00°
Element x y z (fractional)
1 Tb 0.000 0.000 0.000
2 Tb 0.000 0.000 0.500
3 Tm 0.333 0.667 0.250
4 Tm 0.667 0.333 0.750
5 Os 0.667 0.333 0.250
6 Os 0.333 0.667 0.750
7 O 0.669 0.630 0.136
8 O 0.962 0.331 0.136
9 O 0.331 0.962 0.636
10 O 0.038 0.669 0.864
11 O 0.370 0.331 0.364
12 O 0.962 0.630 0.364
13 O 0.630 0.962 0.864
14 O 0.669 0.038 0.364
15 O 0.038 0.370 0.636
16 O 0.370 0.038 0.136
17 O 0.630 0.669 0.636
18 O 0.331 0.370 0.864



Entry 9:
The following is a PBE-GGA calculation of a relaxed LaPm6Sm2 crystal, from Alexandria via LeMat-Bulk.

Calculated values
As for the energy relative to the lowest polymorph listed for this composition: 0 meV/atom. For the energy relative to the elements, the calculation gives 0.180 eV/atom. The uncorrected energy is -4.58 eV/atom.

a = 3.492 Å, b = 6.190 Å, c = 17.907 Å
α = 117.49°, β = 84.41°, γ = 73.62°
Element x y z (fractional)
1 La 0.500 0.500 0.500
2 Pm 0.437 0.189 0.937
3 Pm 0.563 0.811 0.063
4 Pm 0.771 0.189 0.269
5 Pm 0.102 0.190 0.605
6 Pm 0.229 0.811 0.731
7 Pm 0.898 0.810 0.395
8 Sm 0.834 0.499 0.834
9 Sm 0.166 0.501 0.166



Entry 10:
The following is a PBE-GGA calculation of a relaxed TbEr2OsO8 crystal, from Alexandria via LeMat-Bulk.

Calculated values
The uncorrected energy is -7.94 eV/atom. For the formation energy from raw total energies, the calculation gives -2.557 eV/atom.

a = 5.016 Å, b = 5.011 Å, c = 6.747 Å
α = 90.00°, β = 90.00°, γ = 90.22°
Element x y z (fractional)
1 Tb 0.000 0.000 0.500
2 Er 0.500 0.500 0.746
3 Er 0.500 0.500 0.254
4 Os 0.000 0.000 0.000
5 O 0.185 0.815 0.209
6 O 0.734 0.734 0.000
7 O 0.815 0.185 0.209
8 O 0.815 0.185 0.791
9 O 0.266 0.266 0.000
10 O 0.185 0.815 0.791
11 O 0.690 0.690 0.500
12 O 0.310 0.310 0.500



Entry 11:
The following is a PBE-GGA calculation of a relaxed LiLa2Zn crystal, from Alexandria via LeMat-Bulk.

Calculated values
For the energy relative to the elements, the calculation gives -0.100 eV/atom. The uncorrected energy is -3.36 eV/atom.

a = 6.308 Å, b = 6.308 Å, c = 5.214 Å
α = 65.61°, β = 65.61°, γ = 34.49°
Element x y z (fractional)
1 Zn 0.781 0.781 0.719
2 Li 0.456 0.456 0.543
3 La 0.023 0.023 0.977
4 La 0.239 0.239 0.261



Entry 12:
The following is a PBE-GGA calculation of a relaxed Pr3Dy5Se8 crystal, from Alexandria via LeMat-Bulk.

Calculated values
The uncorrected energy is -5.86 eV/atom. For the formation energy from raw total energies, the calculation gives -1.780 eV/atom.

a = 8.235 Å, b = 8.235 Å, c = 8.364 Å
α = 60.51°, β = 60.51°, γ = 60.00°
Element x y z (fractional)
1 Pr 0.500 0.000 0.500
2 Pr 0.000 0.000 0.500
3 Pr 0.000 0.500 0.500
4 Dy 0.500 0.000 0.000
5 Dy 0.500 0.500 0.000
6 Dy 0.000 0.000 0.000
7 Dy 0.000 0.500 0.000
8 Dy 0.500 0.500 0.500
9 Se 0.250 0.250 0.762
10 Se 0.250 0.739 0.762
11 Se 0.739 0.250 0.762
12 Se 0.744 0.744 0.768
13 Se 0.750 0.750 0.238
14 Se 0.750 0.261 0.238
15 Se 0.261 0.750 0.238
16 Se 0.256 0.256 0.232



Entry 13:
The following is a PBE-GGA calculation of a relaxed Y6Ge2Te3Pb crystal, from Alexandria via LeMat-Bulk.

Calculated values
The uncorrected energy is -6.22 eV/atom. For the formation energy from raw total energies, the calculation gives -1.126 eV/atom.

a = 4.288 Å, b = 8.751 Å, c = 9.712 Å
α = 103.43°, β = 102.75°, γ = 90.00°
Element x y z (fractional)
1 Y 0.332 0.891 0.665
2 Y 0.674 0.567 0.349
3 Y 0.668 0.109 0.335
4 Y 0.010 0.253 0.020
5 Y 0.990 0.747 0.980
6 Y 0.326 0.433 0.651
7 Ge 0.832 0.664 0.664
8 Ge 0.168 0.336 0.336
9 Te 0.500 0.500 0.000
10 Te 0.836 0.167 0.672
11 Te 0.164 0.833 0.328
12 Pb 0.500 0.000 0.000



Entry 14:
The following is a PBE-GGA calculation of a relaxed BaAcPt crystal, from Alexandria via LeMat-Bulk.

Calculated values
As for the energy relative to the lowest polymorph listed for this composition: 0 meV/atom. For the energy relative to the elements, the calculation gives -0.800 eV/atom. The uncorrected energy is -4.82 eV/atom.

a = 4.392 Å, b = 8.776 Å, c = 21.841 Å
α = 143.48°, β = 90.00°, γ = 90.00°
Element x y z (fractional)
1 Ba 0.251 0.106 0.865
2 Ba 0.751 0.394 0.135
3 Ba 0.749 0.894 0.135
4 Ba 0.249 0.606 0.865
5 Ac 0.750 0.348 0.611
6 Ac 0.250 0.152 0.389
7 Ac 0.250 0.652 0.389
8 Ac 0.750 0.848 0.611
9 Pt 0.750 0.377 0.376
10 Pt 0.250 0.123 0.624
11 Pt 0.250 0.623 0.624
12 Pt 0.750 0.877 0.376



Entry 15:
The following is a PBE-GGA calculation of a relaxed PaH3Rh2 crystal, from Alexandria via LeMat-Bulk.

Calculated values
The uncorrected energy is -6.11 eV/atom.

a = 3.577 Å, b = 11.899 Å, c = 7.808 Å
α = 90.00°, β = 90.00°, γ = 126.77°
Element x y z (fractional)
1 Pa 0.587 0.794 0.171
2 Pa 0.587 0.294 0.329
3 Pa 0.413 0.706 0.671
4 Pa 0.413 0.206 0.829
5 H 0.678 0.588 0.560
6 H 0.678 0.088 0.940
7 H 0.227 0.614 0.958
8 H 0.227 0.114 0.542
9 H 0.144 0.572 0.325
10 H 0.144 0.072 0.175
11 H 0.856 0.928 0.825
12 H 0.856 0.428 0.675
13 H 0.773 0.886 0.458
14 H 0.773 0.386 0.042
15 H 0.322 0.912 0.060
16 H 0.322 0.412 0.440
17 Rh 0.339 0.919 0.836
18 Rh 0.339 0.419 0.664
19 Rh 0.229 0.864 0.454
20 Rh 0.229 0.364 0.046
21 Rh 0.771 0.636 0.954
22 Rh 0.771 0.136 0.546
23 Rh 0.661 0.581 0.336
24 Rh 0.661 0.081 0.164



Entry 16:
The following is a PBE-GGA calculation of a relaxed BaAlWS crystal, from Alexandria via LeMat-Bulk.

Calculated values
As for the energy relative to the lowest polymorph listed for this composition: 132 meV/atom. The uncorrected energy is -5.74 eV/atom. For the formation energy from raw total energies, the calculation gives -0.049 eV/atom.

a = 3.784 Å, b = 3.700 Å, c = 14.312 Å
α = 90.00°, β = 90.00°, γ = 90.00°
Element x y z (fractional)
1 S 0.500 0.000 0.367
2 S 0.500 0.500 0.867
3 Ba 0.000 0.000 0.972
4 Ba 0.000 0.500 0.472
5 W 0.500 0.000 0.205
6 W 0.500 0.500 0.705
7 Al 0.000 0.000 0.696
8 Al 0.000 0.500 0.196



Entry 17:
The following is a PBE-GGA calculation of a relaxed RbGaSn crystal, from Alexandria via LeMat-Bulk.

Calculated values
For the energy relative to the elements, the calculation gives 0.046 eV/atom. The uncorrected energy is -2.62 eV/atom.

a = 13.356 Å, b = 13.356 Å, c = 9.754 Å
α = 46.79°, β = 46.79°, γ = 90.00°
Element x y z (fractional)
1 Ga 0.779 0.779 0.000
2 Ga 0.221 0.221 0.000
3 Ga 0.221 0.779 0.000
4 Ga 0.779 0.221 0.000
5 Sn 0.389 0.000 0.000
6 Sn 0.611 0.000 0.000
7 Sn 0.000 0.389 0.000
8 Sn 0.000 0.611 0.000
9 Rb 0.704 0.500 0.000
10 Rb 0.296 0.500 0.000
11 Rb 0.500 0.704 0.000
12 Rb 0.500 0.296 0.000



Entry 18:
The following is a PBE-GGA calculation of a relaxed Dy5Ir2Pt2 crystal, from Alexandria via LeMat-Bulk.

Calculated values
For the energy relative to the elements, the calculation gives -0.998 eV/atom. The uncorrected energy is -6.87 eV/atom.

a = 7.523 Å, b = 7.481 Å, c = 8.249 Å
α = 116.96°, β = 90.00°, γ = 90.00°
Element x y z (fractional)
1 Dy 0.000 0.000 0.000
2 Dy 0.500 0.500 0.000
3 Dy 0.831 0.808 0.270
4 Dy 0.169 0.462 0.270
5 Dy 0.331 0.962 0.270
6 Dy 0.669 0.308 0.270
7 Dy 0.169 0.192 0.730
8 Dy 0.831 0.538 0.730
9 Dy 0.669 0.038 0.730
10 Dy 0.331 0.692 0.730
11 Ir 0.628 0.870 0.000
12 Ir 0.372 0.130 0.000
13 Ir 0.128 0.630 0.000
14 Ir 0.872 0.370 0.000
15 Pt 0.000 0.204 0.407
16 Pt 0.500 0.704 0.407
17 Pt 0.000 0.796 0.593
18 Pt 0.500 0.296 0.593



Entry 19:
The following is a PBE-GGA calculation of a relaxed Nd3Ag2Ru crystal, from Alexandria via LeMat-Bulk.

Calculated values
As for the energy relative to the lowest polymorph listed for this composition: 0 meV/atom. For the energy relative to the elements, the calculation gives -0.240 eV/atom. The uncorrected energy is -5.12 eV/atom.

a = 5.175 Å, b = 8.083 Å, c = 7.533 Å
α = 90.00°, β = 90.00°, γ = 71.33°
Element x y z (fractional)
1 Nd 0.827 0.347 0.771
2 Nd 0.500 0.000 0.233
3 Nd 0.173 0.653 0.229
4 Nd 0.827 0.347 0.229
5 Nd 0.173 0.653 0.771
6 Nd 0.500 0.000 0.767
7 Ag 0.000 0.000 0.000
8 Ag 0.000 0.000 0.500
9 Ag 0.336 0.328 0.500
10 Ag 0.664 0.672 0.500
11 Ru 0.335 0.330 0.000
12 Ru 0.665 0.670 0.000



Entry 20:
The following is a PBE-GGA calculation of a relaxed PmLuTh2 crystal, from Alexandria via LeMat-Bulk.

Calculated values
As for the energy relative to the lowest polymorph listed for this composition: 107 meV/atom. For the energy relative to the elements, the calculation gives 0.164 eV/atom. The uncorrected energy is -5.86 eV/atom.

a = 5.657 Å, b = 5.657 Å, c = 5.657 Å
α = 60.00°, β = 60.00°, γ = 60.00°
Element x y z (fractional)
1 Lu 0.000 0.000 0.000
2 Th 0.250 0.250 0.250
3 Th 0.750 0.750 0.750
4 Pm 0.500 0.500 0.500



Entry 21:
The following is a PBE-GGA calculation of a relaxed Ba2AlSn2Hg4 crystal, from Alexandria via LeMat-Bulk.

Calculated values
For the energy relative to the elements, the calculation gives -0.355 eV/atom. The uncorrected energy is -2.22 eV/atom.

a = 7.222 Å, b = 7.222 Å, c = 7.222 Å
α = 90.40°, β = 119.77°, γ = 119.77°
Element x y z (fractional)
1 Ba 0.500 0.750 0.250
2 Ba 0.500 0.250 0.750
3 Al 0.000 0.000 0.000
4 Sn 0.000 0.698 0.698
5 Sn 0.000 0.302 0.302
6 Hg 0.000 0.730 0.270
7 Hg 0.461 0.730 0.730
8 Hg 0.000 0.270 0.730
9 Hg 0.539 0.270 0.270